VASP calculation (PBE-GGA) on MnSb3Pd after structural relaxation.

Results
**Raw formation energy**: 3.1 eV per formula unit
**Space-group type**: No. 221

Geometry as POSCAR:
```
MnSb3Pd
1.0
5.226 0.000 0.000
0.000 5.226 0.000
0.000 0.000 5.226
Mn Sb Pd
1 3 1
direct
0.000 0.000 0.000 Mn
0.000 0.500 0.500 Sb
0.500 0.000 0.500 Sb
0.500 0.500 0.000 Sb
0.500 0.500 0.500 Pd
```